The following is a meta-GGA SCAN calculation of a crystal of Hf2Be2Rh relaxed with PBEsol, from Alexandria via LeMat-Bulk.

Calculated values
**Formation energy from the elements**: -0.534 eV per atom
**Volume**: 70.5 Å³/f.u.
**Relative energy among the computed polymorphs**: 0.0000 eV per atom

Cell and atoms, written as extended XYZ:
```
10
Lattice="3.5392 0.0000 0.0000 0.0000 6.3110 0.0000 0.0000 0.0000 6.3110" Properties=species:S:1:pos:R:3 pbc="T T T"
Rh 0.0000 0.0000 0.0000
Rh 0.0000 3.1555 3.1555
Hf 1.7696 1.1165 4.2721
Hf 1.7696 4.2721 5.1945
Hf 1.7696 5.1945 2.0390
Hf 1.7696 2.0390 1.1165
Be 0.0000 2.3998 5.5554
Be 0.0000 5.5554 3.9112
Be 0.0000 3.9112 0.7557
Be 0.0000 0.7557 2.3998
```